Material: HoMoO4
Method: DFT, PBE with a Hubbard U
State: optimized geometry

a b c (Å): 4.0933 7.2637 6.2922
angles (deg): 90.00 108.91 90.00
Last column: nearest neighbours and their distance in Å.
Element x y z (fractional)
Ho 0.0648 0.2500 0.1290  7 O 2.18-2.38
Ho 0.9352 0.7500 0.8710  7 O 2.18-2.38
Mo 0.2108 0.7500 0.4195  5 O 1.86-2.07
Mo 0.7892 0.2500 0.5805  5 O 1.86-2.07
O 0.1012 0.5669 0.2007  1 Mo 1.86
O 0.1012 0.9331 0.2007  1 Mo 1.86
O 0.2638 0.2500 0.5285  2 Mo 2.07
O 0.3723 0.7500 0.7448  1 Mo 1.94
O 0.6277 0.2500 0.2552  1 Mo 1.94
O 0.7362 0.7500 0.4715  2 Mo 2.07
O 0.8988 0.0669 0.7993  1 Mo 1.86
O 0.8988 0.4331 0.7993  1 Mo 1.86

Its total energy is -92.135 eV per cell. For the volume, the calculation gives 177 Å³ per cell. Its space group is No. 11. Its total magnetization is 0.1667 μB/atom.